Entry 1:
The following is a DFT calculation (GGA-PBE) of LaDyIn2Se4 after structural relaxation.

The value obtained for the total moment is 0.00 μB per cell. The formation energy from raw total energies is -1.326 eV per atom. Its total energy is -4.944 eV per atom.

It has space group P2/m (No. 10), with a = 7.405 Å, b = 4.269 Å, c = 8.088 Å, α = 90.00°, β = 107.66° and γ = 90.00°. The asymmetric unit holds La at (0.000, 0.000, 0.000), Dy at (0.500, 0.500, 0.000), In at (0.000, 0.500, 0.500), In at (0.500, 0.000, 0.500), Se at (0.250, 0.500, 0.214) and Se at (0.274, 0.000, 0.790).



Entry 2:
The following is a DFT calculation (GGA-PBE) of K4BeHg after structural relaxation.

The value obtained for the total moment is 0.00 μB per cell. The energy of formation comes out at 619 meV/atom. Its total energy is -0.784 eV per atom.

It has space group F-43m (No. 216), with a = 10.895 Å, b = 10.895 Å, c = 10.895 Å, α = 90.00°, β = 90.00° and γ = 90.00°. The asymmetric unit holds K at (0.125, 0.125, 0.125), Be at (0.250, 0.250, 0.750) and Hg at (0.000, 0.000, 0.500).



Entry 3:
The following is a DFT calculation (GGA-PBE) of CaMg2Ir after structural relaxation.

The value obtained for the total moment is 0.00 μB per cell. The energy of formation comes out at -157 meV/atom. Its total energy is -3.670 eV per atom.

It has space group Cm (No. 8), with a = 10.479 Å, b = 3.252 Å, c = 6.351 Å, α = 90.00°, β = 120.30° and γ = 90.00°. The asymmetric unit holds Ca at (0.000, 0.000, 0.000), Mg at (0.131, 0.500, 0.610), Mg at (0.333, 0.500, 0.357) and Ir at (0.269, 0.000, 0.991).



Entry 4:
The following is a DFT calculation (GGA-PBE) of CaMnGa after structural relaxation.

The value obtained for the total moment is 6.84 μB per cell. The energy of formation comes out at 11 meV/atom. Its total energy is -4.721 eV per atom.

It has space group I4mm (No. 107), with a = 3.406 Å, b = 3.406 Å, c = 10.866 Å, α = 90.00°, β = 90.00° and γ = 90.00°. The asymmetric unit holds Ca at (0.000, 0.000, 0.000), Mn at (0.000, 0.000, 0.708) and Ga at (0.000, 0.000, 0.301).



Entry 5:
The following is a DFT calculation (GGA-PBE) of BeCN2 after structural relaxation.

The value obtained for the total moment is 0.00 μB per cell. The formation energy from raw total energies is -0.370 eV per atom. Its total energy is -7.770 eV per atom.

It has space group Pm (No. 6), with a = 2.980 Å, b = 2.501 Å, c = 4.386 Å, α = 90.00°, β = 109.71° and γ = 90.00°. The asymmetric unit holds Be at (0.000, 0.000, 0.000), C at (0.727, 0.500, 0.458), N at (0.630, 0.000, 0.264) and N at (0.882, 0.500, 0.764).



Entry 6:
The following is a DFT calculation (GGA-PBE) of La6MgOs after structural relaxation.

The value obtained for the total moment is 0.00 μB per cell. The energy of formation comes out at 7 meV/atom. Its total energy is -5.291 eV per atom.

It has space group C2/m (No. 12), with a = 8.587 Å, b = 10.457 Å, c = 6.749 Å, α = 90.00°, β = 107.29° and γ = 90.00°. The asymmetric unit holds La at (0.102, 0.192, 0.293), La at (0.207, 0.500, 0.093), Mg at (0.000, 0.500, 0.500) and Os at (0.000, 0.000, 0.000).



Entry 7:
The following is a DFT calculation (GGA-PBE) of Sm5TlCo2 after structural relaxation.

The value obtained for the total moment is 0.00 μB per cell. The energy of formation comes out at -176 meV/atom. Its total energy is -5.197 eV per atom.

It has space group I4/mcm (No. 140), with a = 7.762 Å, b = 7.762 Å, c = 13.850 Å, α = 90.00°, β = 90.00° and γ = 90.00°. The asymmetric unit holds Sm at (0.000, 0.000, 0.000), Sm at (0.162, 0.338, 0.130), Tl at (0.000, 0.000, 0.250) and Co at (0.133, 0.367, 0.500).



Entry 8:
The following is a DFT calculation (GGA-PBE) of Zr2NbTlO8 after structural relaxation.

The value obtained for the total moment is 0.00 μB per cell. The formation energy from raw total energies is -2.496 eV per atom. Its total energy is -8.263 eV per atom.

It has space group Cmmm (No. 65), with a = 6.915 Å, b = 7.001 Å, c = 6.670 Å, α = 90.00°, β = 90.00° and γ = 90.00°. The asymmetric unit holds Zr at (0.000, 0.000, 0.247), Nb at (0.000, 0.500, 0.000), Tl at (0.000, 0.500, 0.500), O at (0.000, 0.302, 0.218), O at (0.185, 0.000, 0.500) and O at (0.202, 0.000, 0.000).



Entry 9:
The following is a DFT calculation (GGA-PBE) of La3Al2Hg4 after structural relaxation.

The value obtained for the total moment is 0.00 μB per cell. The energy of formation comes out at -477 meV/atom. Its total energy is -3.085 eV per atom.

It has space group C2/m (No. 12), with a = 11.470 Å, b = 4.883 Å, c = 9.262 Å, α = 90.00°, β = 114.54° and γ = 90.00°. The asymmetric unit holds La at (0.000, 0.000, 0.000), La at (0.161, 0.500, 0.673), Al at (0.117, 0.500, 0.286), Hg at (0.085, 0.000, 0.410) and Hg at (0.198, 0.500, 0.043).



Entry 10:
The following is a DFT calculation (GGA-PBE) of LiCaO2 after structural relaxation.

The value obtained for the total moment is 4.00 μB per cell. The formation energy from raw total energies is -1.800 eV per atom. Its total energy is -5.258 eV per atom.

It has space group Fm-3m (No. 225), with a = 5.611 Å, b = 5.611 Å, c = 5.611 Å, α = 90.00°, β = 90.00° and γ = 90.00°. The asymmetric unit holds Li at (0.000, 0.000, 0.000), Ca at (0.000, 0.000, 0.500) and O at (0.250, 0.250, 0.250).



Entry 11:
The following is a DFT calculation (GGA-PBE) of ZnGaPt after structural relaxation.

The value obtained for the total moment is 0.00 μB per cell. The energy of formation comes out at -487 meV/atom. Its total energy is -3.934 eV per atom.

It has space group Cm (No. 8), with a = 7.487 Å, b = 4.343 Å, c = 7.348 Å, α = 90.00°, β = 119.59° and γ = 90.00°. The asymmetric unit holds Zn at (0.000, 0.000, 0.000), Zn at (0.067, 0.500, 0.489), Ga at (0.279, 0.500, 0.225), Ga at (0.344, 0.000, 0.714), Pt at (0.378, 0.000, 0.086) and Pt at (0.468, 0.500, 0.625).



Entry 12:
The following is a DFT calculation (GGA-PBE) of MoW2Br after structural relaxation.

The value obtained for the total moment is 0.00 μB per cell. The formation energy from raw total energies is 0.533 eV per atom. The calculation puts the energy relative to the lowest polymorph listed for this composition at 0.000 eV per atom. Its total energy is -9.070 eV per atom.

It has space group Pmm2 (No. 25), with a = 3.120 Å, b = 3.129 Å, c = 7.691 Å, α = 90.00°, β = 90.00° and γ = 90.00°. The asymmetric unit holds Mo at (0.000, 0.000, 0.000), W at (0.000, 0.000, 0.403), W at (0.500, 0.500, 0.199) and Br at (0.500, 0.000, 0.695).



Q: Number 7 is which compound?
A: Sm5TlCo2